Density functional theory data (PBEsol) for CrCl2F after structural relaxation.

Geometry as POSCAR:
```
CrCl2F
1.0
-2.203 -3.597 0.490
-0.083 -1.942 3.775
-3.566 -0.008 2.305
F Cl Cr
1 2 1
Direct
0.000 0.000 0.000
0.250 0.250 0.250
0.750 0.750 0.750
0.500 0.500 0.500
```

Calculated values
M_tot = 3.00 Bohr magnetons per cell
raw formation energy = -57.5 kJ per mole of atoms
VASP energy = -18.57 eV/cell
space group = Fm-3m
calculated volume = 54 Å³/f.u.